[1]
# La6Sn3H PBE-GGA optimized geometry
data_La6Sn3H
_chemical_formula_sum 'La24 Sn12 H4'
_space_group_name_H-M_alt 'C m c 21'
_space_group_IT_number 36
_space_group_name_Hall 'C 2c -2'
_cell_length_a 12.224
_cell_length_b 15.236
_cell_length_c 7.476
_cell_angle_alpha 90.00
_cell_angle_beta 90.00
_cell_angle_gamma 90.00
loop_
_atom_site_label
_atom_site_type_symbol
_atom_site_fract_x
_atom_site_fract_y
_atom_site_fract_z
_atom_site_occupancy
La1 La 0.000 0.043 0.000 1
La2 La 0.000 0.221 0.455 1
La3 La 0.159 0.475 0.459 1
La4 La 0.163 0.259 0.996 1
Sn1 Sn 0.000 0.376 0.749 1
Sn2 Sn 0.170 0.107 0.685 1
H1 H 0.000 0.191 0.128 1
# VASP energy: -4.9373 eV per atom

=====

[2]
# KBF4 PBE-GGA optimized geometry
data_KBF4
_chemical_formula_sum 'K4 B4 F16'
_space_group_name_H-M_alt 'P n m a'
_space_group_IT_number 62
_space_group_name_Hall '-P 2ac 2n'
_cell_length_a 8.763
_cell_length_b 5.556
_cell_length_c 7.126
_cell_angle_alpha 90.00
_cell_angle_beta 90.00
_cell_angle_gamma 90.00
loop_
_atom_site_label
_atom_site_type_symbol
_atom_site_fract_x
_atom_site_fract_y
_atom_site_fract_z
_atom_site_occupancy
K1 K 0.184 0.250 0.159 1
B1 B 0.062 0.250 0.689 1
F1 F 0.078 0.042 0.804 1
F2 F 0.083 0.750 0.395 1
F3 F 0.179 0.250 0.552 1
# raw formation energy: -3023 meV/atom

=====

[3]
# La2Si3Au5 PBE-GGA optimized geometry
data_La2Si3Au5
_chemical_formula_sum 'La8 Si12 Au20'
_space_group_name_H-M_alt 'I b a m'
_space_group_IT_number 72
_space_group_name_Hall '-I 2 2c'
_cell_length_a 10.196
_cell_length_b 12.868
_cell_length_c 6.295
_cell_angle_alpha 90.00
_cell_angle_beta 90.00
_cell_angle_gamma 90.00
loop_
_atom_site_label
_atom_site_type_symbol
_atom_site_fract_x
_atom_site_fract_y
_atom_site_fract_z
_atom_site_occupancy
La1 La 0.241 0.128 0.000 1
Si1 Si 0.000 0.000 0.250 1
Si2 Si 0.136 0.380 0.000 1
Au1 Au 0.000 0.269 0.250 1
Au2 Au 0.000 0.500 0.250 1
Au3 Au 0.126 0.114 0.500 1
# raw formation energy: -634 meV/atom
# energy above the lowest structure with this stoichiometry: 0 meV per atom

=====

[4]
# NdBePtN PBE-GGA optimized geometry
data_NdBePtN
_chemical_formula_sum 'Nd2 Be2 Pt2 N2'
_space_group_name_H-M_alt 'P 4/n m m'
_space_group_IT_number 129
_cell_length_a 3.848
_cell_length_b 3.848
_cell_length_c 8.056
_cell_angle_alpha 90.00
_cell_angle_beta 90.00
_cell_angle_gamma 90.00
loop_
_space_group_symop_operation_xyz
'x,y,z'
'-x,-y,-z'
'-y+1/2,x,z'
'y+1/2,-x,-z'
'-x+1/2,-y+1/2,z'
'x+1/2,y+1/2,-z'
'y,-x+1/2,z'
'-y,x+1/2,-z'
'x+1/2,-y,-z'
'-x+1/2,y,z'
'-y,-x,-z'
'y,x,z'
'-x,y+1/2,-z'
'x,-y+1/2,z'
'y+1/2,x+1/2,-z'
'-y+1/2,-x+1/2,z'
loop_
_atom_site_label
_atom_site_type_symbol
_atom_site_fract_x
_atom_site_fract_y
_atom_site_fract_z
_atom_site_occupancy
Nd1 Nd 0.250 0.250 0.159 1
Be1 Be 0.250 0.250 0.662 1
Pt1 Pt 0.250 0.750 0.500 1
N1 N 0.250 0.250 0.863 1
# raw formation energy: -1160 meV/atom

=====

[5]
# Sm2Zn5Rh4 PBE-GGA optimized geometry
data_Sm2Zn5Rh4
_chemical_formula_sum 'Sm8 Zn20 Rh16'
_space_group_name_H-M_alt 'F m m m'
_space_group_IT_number 69
_space_group_name_Hall '-F 2 2'
_cell_length_a 5.336
_cell_length_b 9.298
_cell_length_c 16.148
_cell_angle_alpha 90.00
_cell_angle_beta 90.00
_cell_angle_gamma 90.00
loop_
_atom_site_label
_atom_site_type_symbol
_atom_site_fract_x
_atom_site_fract_y
_atom_site_fract_z
_atom_site_occupancy
Sm1 Sm 0.000 0.000 0.145 1
Zn1 Zn 0.000 0.000 0.500 1
Zn2 Zn 0.250 0.250 0.000 1
Zn3 Zn 0.250 0.250 0.250 1
Rh1 Rh 0.000 0.156 0.372 1
# energy relative to the elements: -461 meV per atom

=====

[6]
# Sm2GdAg PBE-GGA optimized geometry
data_Sm2GdAg
_chemical_formula_sum 'Sm2 Gd1 Ag1'
_space_group_name_H-M_alt 'P 4/m m m'
_space_group_IT_number 123
_space_group_name_Hall '-P 4 2'
_cell_length_a 5.544
_cell_length_b 5.544
_cell_length_c 3.722
_cell_angle_alpha 90.00
_cell_angle_beta 90.00
_cell_angle_gamma 90.00
loop_
_atom_site_label
_atom_site_type_symbol
_atom_site_fract_x
_atom_site_fract_y
_atom_site_fract_z
_atom_site_occupancy
Sm1 Sm 0.000 0.500 0.000 1
Gd1 Gd 0.000 0.000 0.500 1
Ag1 Ag 0.500 0.500 0.500 1
# energy relative to the elements: -13 meV per atom
# energy above the lowest structure with this stoichiometry: 94 meV per atom